[1]
Density functional theory data (GGA-PBE) for an optimized crystal structure of Sc3UCo8.

- calculated total energy (eV per cell) = -90.56
- ΔE_f (meV/atom) = -286
- SG = R3m, No. 160

Cell lengths 4.891, 4.891, 8.477 Å; angles 73.23, 73.23, 60.00 degrees
Sites, in units of the cell vectors:
Co (0.438, 0.438, 0.187)
Sc (0.374, 0.374, 0.878)
Sc (0.003, 0.003, 0.992)
U (0.876, 0.876, 0.371)
Co (0.688, 0.688, 0.937)
Co (0.438, 0.937, 0.187)
Sc (0.498, 0.498, 0.507)
Co (0.937, 0.437, 0.688)
Co (0.937, 0.937, 0.688)
Co (0.937, 0.438, 0.187)
Co (0.437, 0.937, 0.688)
Co (0.187, 0.187, 0.440)


[2]
Density functional theory data (GGA-PBE) for an optimized crystal structure of ScUCo3.

- calculated total energy (eV per cell) = -79.79
- ΔE_f (meV/atom) = -192
- SG = Cm, No. 8

Cell lengths 5.126, 4.783, 8.013 Å; angles 71.04, 71.38, 57.64 degrees
Sites, in units of the cell vectors:
U (0.956, 0.398, 0.608)
Co (0.470, 0.998, 0.490)
Sc (0.516, 0.574, 0.311)
Co (0.959, 0.998, 0.490)
Co (0.521, 0.391, 0.987)
Sc (0.573, 0.957, 0.815)
U (0.943, 0.932, 0.100)
Co (0.019, 0.391, 0.986)
Co (0.278, 0.642, 0.720)
Co (0.148, 0.368, 0.254)


[3]
Density functional theory data (GGA-PBE) for an optimized crystal structure of ScU2Co9.

- calculated total energy (eV per cell) = -95.09
- ΔE_f (meV/atom) = -186
- SG = R-3m, No. 166

Cell lengths 4.785, 4.785, 8.574 Å; angles 73.80, 73.80, 60.00 degrees
Sites, in units of the cell vectors:
Co (0.500, 0.500, 0.500)
Co (0.917, 0.419, 0.245)
Co (0.581, 0.083, 0.755)
Co (0.667, 0.667, 0.998)
Co (0.083, 0.581, 0.755)
U (0.860, 0.860, 0.419)
Co (0.419, 0.419, 0.245)
Co (0.333, 0.333, 0.002)
Co (0.581, 0.581, 0.755)
Co (0.419, 0.917, 0.245)
Sc (0.000, 0.000, 0.000)
U (0.140, 0.140, 0.581)


[4]
Density functional theory data (GGA-PBE) for an optimized crystal structure of Sc2VCo.

- calculated total energy (eV per cell) = -28.80
- relative energy among the computed polymorphs (meV per atom) = 0.0
- ΔE_f (meV/atom) = 23
- SG = Fm-3m, No. 225

Cell lengths 4.580, 4.580, 4.580 Å; angles 60.00, 60.00, 60.00 degrees
Sites, in units of the cell vectors:
Sc (0.750, 0.750, 0.750)
Sc (0.250, 0.250, 0.250)
Co (0.500, 0.500, 0.500)
V (0.000, 0.000, 0.000)


Number 1: Fermi-level density of states 1.446 states/eV per atom. Number 2: Fermi-level density of states 0.996 states/eV per atom. Number 3: Fermi-level density of states 1.507 states/eV per atom. Number 4: Fermi-level density of states 0.960 states/eV per atom.